Entry 1:
DFT (PBE) results for a relaxed BaGdNO crystal.

Summary:
crystal system = orthorhombic
offset from the most stable computed form = 0.064 eV/atom
density = 6.08 g/cm³
total DFT energy (no corrections) = -6.855 eV/atom

a b c (Å): 4.0339 6.1472 7.1553
angles (deg): 90.00 90.00 90.00
Atoms (fractional coordinates):
O 0.5000 0.4255 0.1983
O 0.5000 0.9255 0.8017
N 0.0000 0.8504 0.3700
N 0.0000 0.3504 0.6300
Gd 0.0000 0.4909 0.3428
Gd 0.0000 0.9909 0.6572
Ba 0.5000 0.4872 0.8225
Ba 0.5000 0.9872 0.1775

Entry 2:
DFT (PBE) results for a relaxed Ag2BrCl crystal.

Summary:
crystal system = tetragonal
density = 4.66 g/cm³
total DFT energy (no corrections) = -2.695 eV/atom

a b c (Å): 7.5460 7.5460 7.5460
angles (deg): 131.49 131.49 71.03
Atoms (fractional coordinates):
Ag 0.3750 0.8881 0.0131
Ag 0.1119 0.1250 0.4869
Ag 0.6381 0.6250 0.5131
Ag 0.8750 0.3619 0.9869
Br 0.2500 0.7500 0.5000
Br 0.5000 0.5000 0.0000
Cl 0.0000 0.0000 0.0000
Cl 0.7500 0.2500 0.5000

Entry 3:
DFT (PBE) results for a relaxed Cu2AgB crystal.

Summary:
crystal system = cubic
density = 8.44 g/cm³
total DFT energy (no corrections) = -3.564 eV/atom

a b c (Å): 4.0889 4.0889 4.0889
angles (deg): 60.00 60.00 60.00
Atoms (fractional coordinates):
B 0.5000 0.5000 0.5000
Cu 0.7500 0.7500 0.7500
Cu 0.0000 0.0000 0.0000
Ag 0.2500 0.2500 0.2500

Entry 4:
DFT (PBE) results for a relaxed MgOs crystal.

Summary:
crystal system = orthorhombic
density = 11.36 g/cm³
total DFT energy (no corrections) = -6.169 eV/atom

a b c (Å): 4.8081 11.4194 4.5693
angles (deg): 90.00 90.00 90.00
Atoms (fractional coordinates):
Mg 0.4910 0.1267 0.0000
Mg 0.4910 0.6233 0.0000
Mg 0.8424 0.6268 0.5000
Mg 0.0176 0.7505 0.0000
Mg 0.3159 0.4996 0.5000
Mg 0.0176 0.9995 0.0000
Mg 0.8424 0.1232 0.5000
Mg 0.3159 0.2504 0.5000
Os 0.8345 0.8750 0.5000
Os 0.4986 0.3750 0.0000
Os 0.3390 0.7637 0.5000
Os 0.7983 0.3750 0.5000
Os 0.9943 0.4865 0.0000
Os 0.9943 0.2635 0.0000
Os 0.3390 0.9863 0.5000
Os 0.5350 0.8750 0.0000

Q: Which of these has the highest density?
A: MgOs

Q: Among the records above, which one has the lowest density?
A: Ag2BrCl